#P
Crystalline HoZrZn4 at its relaxed geometry. Source: Alexandria via LeMat-Bulk, functional GGA-PBE.

Cell lengths 4.3213, 6.7684, 7.6716 Å; angles 90.00, 90.00, 90.00 degrees
Closest atoms and distances in Å follow each position.
Space group Immm (No. 71)
Unique sites:
1 Ho 0.0000 0.0000 0.0000 [2 per cell]  12 Zn 2.97-3.13
2 Zr 0.0000 0.5000 0.0000 [2 per cell]  12 Zn 2.93-3.17
3 Zn 0.0000 0.2234 0.3332 [8 per cell]  3 Zn 2.54-2.56

Computed properties:
Fermi-level density of states in states/eV per cell: 8.67


#Q
Crystalline HoZrZn4 at its relaxed geometry. Source: Alexandria via LeMat-Bulk, functional GGA-PBE.

Cell lengths 7.5517, 7.5517, 7.5517 Å; angles 90.00, 90.00, 90.00 degrees
Closest atoms and distances in Å follow each position.
Space group F-43m (No. 216)
Unique sites:
1 Ho 0.0000 0.0000 0.0000 [4 per cell]  12 Zn 3.13, 4 Zr 3.27
2 Zr 0.2500 0.2500 0.2500 [4 per cell]  12 Zn 3.13, 4 Ho 3.27
3 Zn 0.1243 0.1243 0.6243 [16 per cell]  6 Zn 2.66-2.68

Computed properties:
Fermi-level density of states in states/eV per cell: 23.82


Among the structures shown above, #P is the most stable, with the second-best lying 5.0 kJ/mol of atoms higher.